(1)
Computed, not measured: a geometry-optimized RbNbBr4 structure at the GGA-PBE level of DFT.

The space group is C2/m (No. 12) and the conventional cell measures 15.995, 7.427 and 6.935 Å, with angles of 90.00, 103.91 and 90.00 degrees. Symmetry generates all atoms from Rb at (0.194, 0.000, 0.229), Nb at (0.027, 0.500, 0.318), Br at (0.000, 0.265, 0.000), Br at (0.101, 0.277, 0.618) and Br at (0.188, 0.500, 0.253).

As for the energy relative to the elements, uncorrected: -1.105 eV per atom. The value obtained for the calculated density is 4.136 Mg/m³.

***

(2)
Computed, not measured: a geometry-optimized Rb2NbBr structure at the GGA-PBE level of DFT.

The space group is I-42d (No. 122) and the conventional cell measures 12.929, 12.929 and 5.259 Å, with angles of 90.00, 90.00 and 90.00 degrees. Symmetry generates all atoms from Rb at (0.091, 0.750, 0.125), Nb at (0.000, 0.000, 0.500) and Br at (0.000, 0.000, 0.000).

As for the energy relative to the elements, uncorrected: 0.442 eV per atom. The value obtained for the calculated density is 2.597 Mg/m³. For the density of states at the Fermi level, the calculation gives 0.8563 states/eV per atom. For the energy above the most stable polymorph in this dataset, the calculation gives 0 meV/atom.

***

(3)
Computed, not measured: a geometry-optimized Rb2Nb3Br9 structure at the GGA-PBE level of DFT.

The space group is C2/m (No. 12) and the conventional cell measures 11.093, 18.032 and 10.510 Å, with angles of 90.00, 115.85 and 90.00 degrees. Symmetry generates all atoms from Rb at (0.107, 0.159, 0.327), Nb at (0.113, 0.500, 0.881), Nb at (0.126, 0.417, 0.134), Br at (0.000, 0.297, 0.000), Br at (0.018, 0.399, 0.308), Br at (0.188, 0.000, 0.673), Br at (0.201, 0.195, 0.682), Br at (0.209, 0.102, 0.982) and Br at (0.237, 0.000, 0.277).

As for the energy relative to the elements, uncorrected: -1.159 eV per atom. The value obtained for the calculated density is 4.104 Mg/m³.

***

(4)
Computed, not measured: a geometry-optimized Rb3NbBr8 structure at the GGA-PBE level of DFT.

The space group is P6_3mc (No. 186) and the conventional cell measures 10.3556, 10.3556 and 9.8331 Å, with angles of 90.00, 90.00 and 120.00 degrees. Symmetry generates all atoms from Rb at (0.1517, 0.3034, 0.0000), Nb at (0.3333, 0.6667, 0.4533), Br at (0.0000, 0.0000, 0.2625), Br at (0.1012, 0.5506, 0.3081), Br at (0.2173, 0.4346, 0.6086) and Br at (0.3333, 0.6667, 0.9628).

As for the energy relative to the elements, uncorrected: -1.275 eV per atom. The value obtained for the calculated density is 3.595 Mg/m³.